1.
DFT (PBE-GGA) results for crystalline TbCuSb at its relaxed geometry.

## Properties
DFT total energy: -4.595 eV per atom
Space-group type: I4mm (107)

Cell lengths 5.1649, 5.1649, 5.1649 Å; angles 133.42, 133.42, 67.99 degrees
Closest atoms and distances in Å follow each position.
Atoms (fractional coordinates):
Tb 0.0000 0.0000 0.0000  5 Cu 2.89-3.21, 5 Sb 3.02-3.15
Cu 0.6631 0.6631 0.0000  1 Sb 2.66, 1 Tb 2.89
Sb 0.3527 0.3527 0.0000  1 Cu 2.66

2.
DFT (PBE-GGA) results for crystalline TbCu4Sb at its relaxed geometry.

## Properties
DFT total energy: -4.361 eV per atom
Space-group type: F-43m (216)

Cell lengths 5.2094, 5.2094, 5.2094 Å; angles 60.00, 60.00, 60.00 degrees
Closest atoms and distances in Å follow each position.
Atoms (fractional coordinates):
Tb 0.0000 0.0000 0.0000  12 Cu 3.05, 4 Sb 3.19
Cu 0.1248 0.6251 0.6251  6 Cu 2.60-2.61
Cu 0.6251 0.1248 0.6251  6 Cu 2.60-2.61
Cu 0.6251 0.6251 0.1248  6 Cu 2.60-2.61
Cu 0.6251 0.6251 0.6251  6 Cu 2.60-2.61
Sb 0.2500 0.2500 0.2500  12 Cu 3.05, 4 Tb 3.19

3.
DFT (PBE-GGA) results for crystalline TbCu2Sb2 at its relaxed geometry.

## Properties
DFT total energy: -4.682 eV per atom
Space-group type: Cmcm (63)

Cell lengths 11.3981, 11.3981, 4.3082 Å; angles 90.00, 90.00, 158.13 degrees
Closest atoms and distances in Å follow each position.
Atoms (fractional coordinates):
Tb 0.1393 0.8607 0.7500  8 Sb 3.18-3.29, 4 Cu 3.26-3.28
Tb 0.8607 0.1393 0.2500  8 Sb 3.18-3.29, 4 Cu 3.26-3.28
Cu 0.0290 0.9710 0.2500  4 Cu 2.52-2.53, 2 Sb 2.68
Cu 0.4700 0.5300 0.2500  4 Cu 2.53-2.54, 2 Sb 2.66
Cu 0.5300 0.4700 0.7500  4 Cu 2.53-2.54, 2 Sb 2.66
Cu 0.9710 0.0290 0.7500  4 Cu 2.52-2.53, 2 Sb 2.68
Sb 0.2499 0.7501 0.2500  4 Sb 3.05, 4 Tb 3.28-3.29
Sb 0.4004 0.5996 0.7500  5 Cu 2.66-2.90
Sb 0.5996 0.4004 0.2500  5 Cu 2.66-2.90
Sb 0.7501 0.2499 0.7500  4 Sb 3.05, 4 Tb 3.28-3.29

4.
DFT (PBE-GGA) results for crystalline CuTcSb at its relaxed geometry.

## Properties
E above lowest polymorph: 96 meV per atom
Space-group type: C2/m (12)

Cell lengths 5.6032, 5.6032, 6.8625 Å; angles 109.19, 109.19, 31.39 degrees
Closest atoms and distances in Å follow each position.
Atoms (fractional coordinates):
Cu 0.1581 0.1581 0.1653  2 Sb 2.56-2.74, 3 Tc 2.61-2.71
Cu 0.8419 0.8419 0.8347  2 Sb 2.56-2.74, 3 Tc 2.61-2.71
Tc 0.3555 0.3555 0.5150  3 Cu 2.61-2.71, 2 Tc 2.68, 4 Sb 2.75-2.87
Tc 0.6445 0.6445 0.4850  3 Cu 2.61-2.71, 2 Tc 2.68, 4 Sb 2.75-2.87
Sb 0.0781 0.0781 0.7681  2 Cu 2.56-2.74, 4 Tc 2.75-2.87
Sb 0.9219 0.9219 0.2319  2 Cu 2.56-2.74, 4 Tc 2.75-2.87

5.
DFT (PBE-GGA) results for crystalline CuTcSb at its relaxed geometry.

## Properties
E above lowest polymorph: 96 meV per atom
Space-group type: P1 (1)

Cell lengths 3.9525, 4.4341, 7.5125 Å; angles 78.95, 89.87, 63.57 degrees
Closest atoms and distances in Å follow each position.
Atoms (fractional coordinates):
Cu 0.0000 0.0000 0.0000  3 Cu 2.53-2.63, 1 Tc 2.57, 3 Sb 2.62-2.65
Cu 0.2834 0.4333 0.8974  3 Cu 2.53-2.63, 5 Tc 2.63-2.81, 2 Sb 2.74
Tc 0.5485 0.9048 0.7372  3 Tc 2.53-2.54, 3 Cu 2.63-2.81
Tc 0.8463 0.3100 0.6621  3 Tc 2.53-2.54, 3 Cu 2.57-2.76, 3 Sb 2.77-2.83
Sb 0.1171 0.7701 0.4820  5 Tc 2.77-2.88
Sb 0.7093 0.5799 0.1224  5 Cu 2.62-2.74, 1 Tc 2.91

6.
DFT (PBE-GGA) results for crystalline Cu2Tc2Sb at its relaxed geometry.

## Properties
DFT total energy: -6.214 eV per atom
Space-group type: P4/mbm (127)

Cell lengths 6.6958, 6.6958, 3.6064 Å; angles 90.00, 90.00, 90.00 degrees
Closest atoms and distances in Å follow each position.
Atoms (fractional coordinates):
Cu 0.1697 0.3303 0.0000  6 Tc 2.65-2.69
Cu 0.3303 0.8303 0.0000  6 Tc 2.65-2.69
Cu 0.6697 0.1697 0.0000  6 Tc 2.65-2.69
Cu 0.8303 0.6697 0.0000  6 Tc 2.65-2.69
Tc 0.1251 0.6251 0.5000  1 Tc 2.37, 2 Sb 2.65, 2 Cu 2.65
Tc 0.3749 0.1251 0.5000  1 Tc 2.37, 2 Sb 2.65, 2 Cu 2.65
Tc 0.6251 0.8749 0.5000  1 Tc 2.37, 2 Sb 2.65, 2 Cu 2.65
Tc 0.8749 0.3749 0.5000  1 Tc 2.37, 2 Sb 2.65, 2 Cu 2.65
Sb 0.0000 0.0000 0.5000  4 Tc 2.65
Sb 0.5000 0.5000 0.5000  4 Tc 2.65

7.
DFT (PBE-GGA) results for crystalline Cu2TcSb at its relaxed geometry.

## Properties
DFT total energy: -5.497 eV per atom
Space-group type: Imm2 (44)

Cell lengths 4.9323, 4.9323, 4.9323 Å; angles 134.84, 134.44, 66.09 degrees
Closest atoms and distances in Å follow each position.
Atoms (fractional coordinates):
Cu 0.0000 0.0000 0.0000  4 Tc 2.69, 4 Cu 2.79-2.83, 4 Sb 2.81
Cu 0.7518 0.2518 0.5000  4 Sb 2.69, 4 Cu 2.79-2.83, 4 Tc 2.80-2.81
Tc 0.5016 0.5016 0.0000  8 Cu 2.69-2.81, 4 Sb 2.81
Sb 0.2509 0.7509 0.5000  8 Cu 2.69-2.81, 4 Tc 2.81

8.
DFT (PBE-GGA) results for crystalline Cu2TcSb at its relaxed geometry.

## Properties
DFT total energy: -5.387 eV per atom
Space-group type: C2/m (12)

Cell lengths 5.2778, 5.2778, 4.3190 Å; angles 113.11, 113.11, 34.09 degrees
Closest atoms and distances in Å follow each position.
Atoms (fractional coordinates):
Cu 0.2488 0.2488 0.2477  4 Cu 2.65-2.66, 2 Tc 2.76, 2 Sb 2.78
Cu 0.7512 0.7512 0.7523  4 Cu 2.65-2.66, 2 Tc 2.76, 2 Sb 2.78
Tc 0.5000 0.5000 0.0000  4 Sb 2.66, 4 Cu 2.76
Sb 0.0000 0.0000 0.5000  4 Tc 2.66, 4 Cu 2.78

| no. | magnetic moment (μB/cell) |
| --- | --- |
| 1 | 0.00 |
| 2 | 0.00 |
| 3 | 0.00 |
| 4 | 0.00 |
| 5 | 0.00 |
| 6 | 0.00 |
| 7 | 0.19 |
| 8 | 0.32 |